1.
Here is a crystal of CuTeBr3 relaxed with PBEsol from Alexandria via LeMat-Bulk. Energies are from SCAN.

Cell and atoms, written as CIF:
```
data_CuTeBr3
_chemical_formula_sum 'Cu1 Te1 Br3'
_cell_length_a 4.9005
_cell_length_b 4.9005
_cell_length_c 4.9005
_cell_angle_alpha 90.00
_cell_angle_beta 90.00
_cell_angle_gamma 90.00
_space_group_name_H-M_alt 'P m -3 m'
_space_group_IT_number 221
_space_group_name_Hall '-P 4 2 3'
loop_
_atom_site_label
_atom_site_type_symbol
_atom_site_fract_x
_atom_site_fract_y
_atom_site_fract_z
Cu1 Cu 0.0000 0.0000 0.0000
Te1 Te 0.5000 0.5000 0.5000
Br1 Br 0.0000 0.0000 0.5000
```

Calculated values
The magnetic moment comes out at 0.01 μB/f.u. The value obtained for the density of states at the Fermi level is 3.8 states/eV/f.u. The value obtained for the formation energy without anion corrections is 127.3 meV per atom. The calculation puts the calculated total energy at -110.2 eV for the cell shown.


2.
Here is a crystal of CsLi3P relaxed with PBEsol from Alexandria via LeMat-Bulk. Energies are from SCAN.

Cell and atoms, written as CIF:
```
data_CsLi3P
_chemical_formula_sum 'Cs1 Li3 P1'
_cell_length_a 4.9471
_cell_length_b 4.9471
_cell_length_c 4.9471
_cell_angle_alpha 90.00
_cell_angle_beta 90.00
_cell_angle_gamma 90.00
_space_group_name_H-M_alt 'P m -3 m'
_space_group_IT_number 221
_space_group_name_Hall '-P 4 2 3'
loop_
_atom_site_label
_atom_site_type_symbol
_atom_site_fract_x
_atom_site_fract_y
_atom_site_fract_z
Cs1 Cs 0.0000 0.0000 0.0000
Li1 Li 0.0000 0.5000 0.5000
P1 P 0.5000 0.5000 0.5000
```

Calculated values
The magnetic moment comes out at 0.00 μB/f.u. The value obtained for the density of states at the Fermi level is 1.9 states/eV/f.u. The energy relative to the elements comes out at -347 meV/atom. The calculation puts the calculated total energy at -57.1 eV for the cell shown.


3.
Here is a crystal of KGeAu3 relaxed with PBEsol from Alexandria via LeMat-Bulk. Energies are from SCAN.

Cell and atoms, written as CIF:
```
data_KGeAu3
_chemical_formula_sum 'K1 Ge1 Au3'
_cell_length_a 4.9469
_cell_length_b 4.9469
_cell_length_c 4.9469
_cell_angle_alpha 90.00
_cell_angle_beta 90.00
_cell_angle_gamma 90.00
_space_group_name_H-M_alt 'P m -3 m'
_space_group_IT_number 221
_space_group_name_Hall '-P 4 2 3'
loop_
_atom_site_label
_atom_site_type_symbol
_atom_site_fract_x
_atom_site_fract_y
_atom_site_fract_z
K1 K 0.0000 0.0000 0.0000
Ge1 Ge 0.5000 0.5000 0.5000
Au1 Au 0.0000 0.5000 0.5000
```

Calculated values
The magnetic moment comes out at 0.00 μB/f.u. The value obtained for the density of states at the Fermi level is 0.6 states/eV/f.u. The energy relative to the elements comes out at -248 meV/atom. The calculation puts the calculated total energy at -236.1 eV for the cell shown.


4.
Here is a crystal of Y2InSe relaxed with PBEsol from Alexandria via LeMat-Bulk. Energies are from SCAN.

Cell and atoms, written as CIF:
```
data_Y2InSe
_chemical_formula_sum 'Y6 In3 Se3'
_cell_length_a 3.8877
_cell_length_b 3.8877
_cell_length_c 23.4130
_cell_angle_alpha 90.00
_cell_angle_beta 90.00
_cell_angle_gamma 120.00
_space_group_name_H-M_alt 'R -3 m'
_space_group_IT_number 166
_space_group_name_Hall '-R 3 2"'
loop_
_atom_site_label
_atom_site_type_symbol
_atom_site_fract_x
_atom_site_fract_y
_atom_site_fract_z
Y1 Y 0.0000 0.0000 0.2403
In1 In 0.0000 0.0000 0.0000
Se1 Se 0.0000 0.0000 0.5000
```

Calculated values
The magnetic moment comes out at 0.00 μB/f.u. The value obtained for the density of states at the Fermi level is 1.8 states/eV/f.u. The value obtained for the formation energy without anion corrections is -1305.5 meV per atom. The calculation puts the calculated total energy at -343.1 eV for the cell shown.


5.
Here is a crystal of NaPt3 relaxed with PBEsol from Alexandria via LeMat-Bulk. Energies are from SCAN.

Cell and atoms, written as CIF:
```
data_NaPt3
_chemical_formula_sum 'Na3 Pt9'
_cell_length_a 8.9297
_cell_length_b 8.9297
_cell_length_c 2.6761
_cell_angle_alpha 90.00
_cell_angle_beta 90.00
_cell_angle_gamma 120.00
_space_group_name_H-M_alt 'R -3 m'
_space_group_IT_number 166
_space_group_name_Hall '-R 3 2"'
loop_
_atom_site_label
_atom_site_type_symbol
_atom_site_fract_x
_atom_site_fract_y
_atom_site_fract_z
Na1 Na 0.0000 0.0000 0.0000
Pt1 Pt 0.0000 0.5000 0.0000
```

Calculated values
The magnetic moment comes out at 0.00 μB/f.u. The value obtained for the density of states at the Fermi level is 2.4 states/eV/f.u. The energy relative to the elements comes out at -93 meV/atom. The calculation puts the calculated total energy at -645.5 eV for the cell shown.


6.
Here is a crystal of Hg4AsRu relaxed with PBEsol from Alexandria via LeMat-Bulk. Energies are from SCAN.

Cell and atoms, written as CIF:
```
data_Hg4AsRu
_chemical_formula_sum 'Hg16 As4 Ru4'
_cell_length_a 7.8408
_cell_length_b 7.8408
_cell_length_c 7.8408
_cell_angle_alpha 90.00
_cell_angle_beta 90.00
_cell_angle_gamma 90.00
_space_group_name_H-M_alt 'F -4 3 m'
_space_group_IT_number 216
_space_group_name_Hall 'F -4 2 3'
loop_
_atom_site_label
_atom_site_type_symbol
_atom_site_fract_x
_atom_site_fract_y
_atom_site_fract_z
Hg1 Hg 0.1246 0.1246 0.1246
As1 As 0.0000 0.0000 0.5000
Ru1 Ru 0.2500 0.2500 0.7500
```

Calculated values
The magnetic moment comes out at 0.96 μB/f.u. The value obtained for the density of states at the Fermi level is 2.8 states/eV/f.u. The energy relative to the elements comes out at 861 meV/atom. The calculation puts the calculated total energy at -1290.1 eV for the cell shown.


7.
Here is a crystal of Cu3B7ClO13 relaxed with PBEsol from Alexandria via LeMat-Bulk. Energies are from SCAN.

Cell and atoms, written as CIF:
```
data_Cu3B7ClO13
_chemical_formula_sum 'Cu12 B28 Cl4 O52'
_cell_length_a 8.4909
_cell_length_b 8.4425
_cell_length_c 11.9657
_cell_angle_alpha 90.00
_cell_angle_beta 90.00
_cell_angle_gamma 90.00
_space_group_name_H-M_alt 'P c a 21'
_space_group_IT_number 29
_space_group_name_Hall 'P 2c -2ac'
loop_
_atom_site_label
_atom_site_type_symbol
_atom_site_fract_x
_atom_site_fract_y
_atom_site_fract_z
Cu1 Cu 0.0149 0.0279 0.0000
Cu2 Cu 0.0190 0.4686 0.9991
Cu3 Cu 0.2439 0.2503 0.7272
B1 B 0.0012 0.0045 0.2479
B2 B 0.0021 0.5014 0.7479
B3 B 0.0460 0.7493 0.8495
B4 B 0.0913 0.7520 0.3219
B5 B 0.2450 0.5962 0.1672
B6 B 0.2449 0.7546 0.9958
B7 B 0.2477 0.9059 0.1682
Cl1 Cl 0.2166 0.2526 0.0126
O1 O 0.0342 0.1628 0.7661
O2 O 0.0389 0.3306 0.2696
O3 O 0.0405 0.9118 0.8533
O4 O 0.0490 0.5901 0.3456
O5 O 0.0832 0.5462 0.1469
O6 O 0.0868 0.9378 0.6519
O7 O 0.1219 0.6674 0.9325
O8 O 0.1395 0.8328 0.4235
O9 O 0.1671 0.8765 0.0634
O10 O 0.1704 0.4764 0.7303
O11 O 0.1708 0.0306 0.2301
O12 O 0.1745 0.6387 0.5657
O13 O 0.2313 0.7499 0.2387
```

Calculated values
The magnetic moment comes out at 3.00 μB/f.u. The value obtained for the formation energy without anion corrections is -2157.5 meV per atom. The calculation puts the calculated total energy at -953.5 eV for the cell shown.


8.
Here is a crystal of AgAsIr2 relaxed with PBEsol from Alexandria via LeMat-Bulk. Energies are from SCAN.

Cell and atoms, written as CIF:
```
data_AgAsIr2
_chemical_formula_sum 'Ag1 As1 Ir2'
_cell_length_a 2.8092
_cell_length_b 4.5971
_cell_length_c 4.7372
_cell_angle_alpha 90.00
_cell_angle_beta 90.00
_cell_angle_gamma 90.00
_space_group_name_H-M_alt 'P m m m'
_space_group_IT_number 47
_space_group_name_Hall '-P 2 2'
loop_
_atom_site_label
_atom_site_type_symbol
_atom_site_fract_x
_atom_site_fract_y
_atom_site_fract_z
Ag1 Ag 0.0000 0.0000 0.0000
As1 As 0.5000 0.0000 0.5000
Ir1 Ir 0.0000 0.5000 0.5000
Ir2 Ir 0.5000 0.5000 0.0000
```

Calculated values
The magnetic moment comes out at 0.00 μB/f.u. The value obtained for the density of states at the Fermi level is 2.8 states/eV/f.u. The energy relative to the elements comes out at 476 meV/atom. The calculation puts the calculated total energy at -191.9 eV for the cell shown.


> Look up the calculated total energy of the third one.

-236.1 eV for the cell shown


> Number 8 is which compound?

AgAsIr2